# CeSmTe2Cl, optimized geometry, DFT PBE
data_CeSmTe2Cl
_chemical_formula_sum 'Ce2 Sm2 Te4 Cl2'
_cell_length_a 4.4235
_cell_length_b 4.4235
_cell_length_c 15.1637
_cell_angle_alpha 90.00
_cell_angle_beta 90.00
_cell_angle_gamma 90.00
_symmetry_space_group_name_H-M 'P 1'
_symmetry_Int_Tables_number 1
loop_
_symmetry_equiv_pos_as_xyz
'x,y,z'
loop_
_atom_site_label
_atom_site_fract_x
_atom_site_fract_y
_atom_site_fract_z
Ce1 0.0000 0.5000 0.3672
Sm1 0.0000 0.5000 0.9122
Te1 0.0000 0.5000 0.1220
Te2 0.5000 0.0000 0.8780
Ce2 0.5000 0.0000 0.6328
Sm2 0.5000 0.0000 0.0878
Te3 0.5000 0.0000 0.2979
Cl1 0.0000 0.0000 0.5000
Te4 0.0000 0.5000 0.7021
Cl2 0.5000 0.5000 0.5000
# **Formation energy from raw total energies**: -1.606 eV/atom
# **Crystal system**: tetragonal

=====

# NdInNi3, optimized geometry, DFT PBE
data_NdInNi3
_chemical_formula_sum 'Nd2 In2 Ni6'
_cell_length_a 4.9710
_cell_length_b 4.7842
_cell_length_c 7.7860
_cell_angle_alpha 90.00
_cell_angle_beta 108.62
_cell_angle_gamma 90.00
_symmetry_space_group_name_H-M 'P 1'
_symmetry_Int_Tables_number 1
loop_
_symmetry_equiv_pos_as_xyz
'x,y,z'
loop_
_atom_site_label
_atom_site_fract_x
_atom_site_fract_y
_atom_site_fract_z
Ni1 0.8553 0.7500 0.2305
Ni2 0.0000 0.5000 0.0000
In1 0.5647 0.2500 0.1294
Ni3 0.6248 0.2500 0.7695
Ni4 0.3752 0.7500 0.2305
In2 0.4353 0.7500 0.8706
Ni5 0.0000 0.0000 0.0000
Nd1 0.7998 0.7500 0.5995
Ni6 0.1447 0.2500 0.7695
Nd2 0.2002 0.2500 0.4005
# **Formation energy**: -0.231 eV per atom
# **Crystal system**: orthorhombic

=====

# Li2TeRh, optimized geometry, DFT PBE
data_Li2TeRh
_chemical_formula_sum 'Li2 Te1 Rh1'
_cell_length_a 4.4500
_cell_length_b 4.4500
_cell_length_c 4.4500
_cell_angle_alpha 120.08
_cell_angle_beta 120.04
_cell_angle_gamma 89.90
_symmetry_space_group_name_H-M 'P 1'
_symmetry_Int_Tables_number 1
loop_
_symmetry_equiv_pos_as_xyz
'x,y,z'
loop_
_atom_site_label
_atom_site_fract_x
_atom_site_fract_y
_atom_site_fract_z
Li1 0.7501 0.2501 0.5000
Rh1 0.5000 0.5000 0.0000
Te1 0.2500 0.7500 0.5000
Li2 0.9999 0.9999 0.0000
# **Formation energy from raw total energies**: -0.559 eV/atom
# **Crystal system**: cubic

=====

Magnetization, respectively: 0.23, 0.00, 0.00 μB per atom.